Computed, not measured: SmMgAu after structural relaxation at the PBE level of DFT.

```
data_SmMgAu
_chemical_formula_sum 'Sm3 Mg3 Au3'
_cell_length_a 7.8250
_cell_length_b 7.8250
_cell_length_c 4.0523
_cell_angle_alpha 90.00
_cell_angle_beta 90.00
_cell_angle_gamma 120.00
_space_group_name_H-M_alt 'P -6 2 m'
_space_group_IT_number 189
_space_group_name_Hall 'P -6 -2'
loop_
_atom_site_label
_atom_site_type_symbol
_atom_site_fract_x
_atom_site_fract_y
_atom_site_fract_z
Sm1 Sm 0.0000 0.5888 0.0000
Mg1 Mg 0.0000 0.2461 0.5000
Au1 Au 0.0000 0.0000 0.0000
Au2 Au 0.3333 0.6667 0.5000
```

- E_tot (eV per cell) = -34.76
- DFT formation energy (eV/atom) = -0.665

Computed, not measured: Sm3Mg2Au4 after structural relaxation at the PBE level of DFT.

```
data_Sm3Mg2Au4
_chemical_formula_sum 'Sm6 Mg4 Au8'
_cell_length_a 10.160
_cell_length_b 4.568
_cell_length_c 9.284
_cell_angle_alpha 90.00
_cell_angle_beta 92.68
_cell_angle_gamma 90.00
_space_group_name_H-M_alt 'C 1 2/m 1'
_space_group_IT_number 12
loop_
_space_group_symop_operation_xyz
'x,y,z'
'-x,-y,-z'
'-x,y,-z'
'x,-y,z'
'x+1/2,y+1/2,z'
'-x+1/2,-y+1/2,-z'
'-x+1/2,y+1/2,-z'
'x+1/2,-y+1/2,z'
loop_
_atom_site_label
_atom_site_type_symbol
_atom_site_fract_x
_atom_site_fract_y
_atom_site_fract_z
Sm1 Sm 0.000 0.000 0.000
Sm2 Sm 0.128 0.500 0.390
Mg1 Mg 0.177 0.500 0.783
Au1 Au 0.080 0.000 0.636
Au2 Au 0.196 0.500 0.084
```

- E_tot (eV per cell) = -73.10
- DFT formation energy (eV/atom) = -0.677

Computed, not measured: SmMg3Au3 after structural relaxation at the PBE level of DFT.

```
data_SmMg3Au3
_chemical_formula_sum 'Sm2 Mg6 Au6'
_cell_length_a 7.214
_cell_length_b 7.214
_cell_length_c 7.214
_cell_angle_alpha 90.00
_cell_angle_beta 90.00
_cell_angle_gamma 90.00
_space_group_name_H-M_alt 'P m -3 n'
_space_group_IT_number 223
_space_group_name_Hall '-P 4n 2 3'
loop_
_atom_site_label
_atom_site_type_symbol
_atom_site_fract_x
_atom_site_fract_y
_atom_site_fract_z
Sm1 Sm 0.000 0.000 0.000
Mg1 Mg 0.000 0.250 0.500
Au1 Au 0.000 0.500 0.250
```

- E_tot (eV per cell) = -40.08
- DFT formation energy (eV/atom) = -0.100

Computed, not measured: SmMgAu after structural relaxation at the PBE level of DFT.

```
data_SmMgAu
_chemical_formula_sum 'Sm2 Mg2 Au2'
_cell_length_a 4.381
_cell_length_b 4.381
_cell_length_c 7.551
_cell_angle_alpha 90.00
_cell_angle_beta 90.00
_cell_angle_gamma 90.00
_space_group_name_H-M_alt 'P 4/n m m'
_space_group_IT_number 129
loop_
_space_group_symop_operation_xyz
'x,y,z'
'-x,-y,-z'
'-y+1/2,x,z'
'y+1/2,-x,-z'
'-x+1/2,-y+1/2,z'
'x+1/2,y+1/2,-z'
'y,-x+1/2,z'
'-y,x+1/2,-z'
'x+1/2,-y,-z'
'-x+1/2,y,z'
'-y,-x,-z'
'y,x,z'
'-x,y+1/2,-z'
'x,-y+1/2,z'
'y+1/2,x+1/2,-z'
'-y+1/2,-x+1/2,z'
loop_
_atom_site_label
_atom_site_type_symbol
_atom_site_fract_x
_atom_site_fract_y
_atom_site_fract_z
Sm1 Sm 0.250 0.250 0.150
Mg1 Mg 0.250 0.750 0.500
Au1 Au 0.250 0.250 0.747
```

- E_tot (eV per cell) = -22.85
- DFT formation energy (eV/atom) = -0.611

Computed, not measured: SmMgAu4 after structural relaxation at the PBE level of DFT.

```
data_SmMgAu4
_chemical_formula_sum 'Sm2 Mg2 Au8'
_cell_length_a 9.594
_cell_length_b 3.765
_cell_length_c 7.224
_cell_angle_alpha 90.00
_cell_angle_beta 110.00
_cell_angle_gamma 90.00
_space_group_name_H-M_alt 'C 1 2/m 1'
_space_group_IT_number 12
loop_
_space_group_symop_operation_xyz
'x,y,z'
'-x,-y,-z'
'-x,y,-z'
'x,-y,z'
'x+1/2,y+1/2,z'
'-x+1/2,-y+1/2,-z'
'-x+1/2,y+1/2,-z'
'x+1/2,-y+1/2,z'
loop_
_atom_site_label
_atom_site_type_symbol
_atom_site_fract_x
_atom_site_fract_y
_atom_site_fract_z
Sm1 Sm 0.000 0.000 0.000
Mg1 Mg 0.000 0.000 0.500
Au1 Au 0.161 0.500 0.802
Au2 Au 0.163 0.500 0.346
```

- E_tot (eV per cell) = -46.29
- DFT formation energy (eV/atom) = -0.620

Computed, not measured: SmMgSnAu after structural relaxation at the PBE level of DFT.

```
data_SmMgSnAu
_chemical_formula_sum 'Sm4 Mg4 Sn4 Au4'
_cell_length_a 7.246
_cell_length_b 7.246
_cell_length_c 7.246
_cell_angle_alpha 90.00
_cell_angle_beta 90.00
_cell_angle_gamma 90.00
_space_group_name_H-M_alt 'F -4 3 m'
_space_group_IT_number 216
_space_group_name_Hall 'F -4 2 3'
loop_
_atom_site_label
_atom_site_type_symbol
_atom_site_fract_x
_atom_site_fract_y
_atom_site_fract_z
Sm1 Sm 0.000 0.000 0.000
Mg1 Mg 0.000 0.000 0.500
Sn1 Sn 0.250 0.250 0.250
Au1 Au 0.250 0.250 0.750
```

- E_tot (eV per cell) = -63.95
- DFT formation energy (eV/atom) = -0.598

Computed, not measured: SmMg2SnAu4 after structural relaxation at the PBE level of DFT.

```
data_SmMg2SnAu4
_chemical_formula_sum 'Sm3 Mg6 Sn3 Au12'
_cell_length_a 4.6309
_cell_length_b 4.6309
_cell_length_c 27.5627
_cell_angle_alpha 90.00
_cell_angle_beta 90.00
_cell_angle_gamma 120.00
_space_group_name_H-M_alt 'R -3 m'
_space_group_IT_number 166
_space_group_name_Hall '-R 3 2"'
loop_
_atom_site_label
_atom_site_type_symbol
_atom_site_fract_x
_atom_site_fract_y
_atom_site_fract_z
Sm1 Sm 0.0000 0.0000 0.0000
Mg1 Mg 0.0000 0.0000 0.2452
Sn1 Sn 0.0000 0.0000 0.5000
Au1 Au 0.0000 0.0000 0.1175
Au2 Au 0.0000 0.0000 0.3892
```

- E_tot (eV per cell) = -88.39
- DFT formation energy (eV/atom) = -0.555

Computed, not measured: Sr2SmMgAu6 after structural relaxation at the PBE level of DFT.

```
data_Sr2SmMgAu6
_chemical_formula_sum 'Sr2 Sm1 Mg1 Au6'
_cell_length_a 5.950
_cell_length_b 6.059
_cell_length_c 7.800
_cell_angle_alpha 97.79
_cell_angle_beta 103.79
_cell_angle_gamma 106.87
_space_group_name_H-M_alt 'P -1'
_space_group_IT_number 2
loop_
_space_group_symop_operation_xyz
'x,y,z'
'-x,-y,-z'
loop_
_atom_site_label
_atom_site_type_symbol
_atom_site_fract_x
_atom_site_fract_y
_atom_site_fract_z
Sr1 Sr 0.007 0.308 0.231
Sm1 Sm 0.500 0.000 0.500
Mg1 Mg 0.500 0.500 0.000
Au1 Au 0.029 0.202 0.771
Au2 Au 0.377 0.059 0.120
Au3 Au 0.386 0.464 0.633
```

- E_tot (eV per cell) = -35.48
- DFT formation energy (eV/atom) = -0.613

Computed, not measured: TbSmMg2Au4 after structural relaxation at the PBE level of DFT.

```
data_TbSmMg2Au4
_chemical_formula_sum 'Tb3 Sm3 Mg6 Au12'
_cell_length_a 4.9651
_cell_length_b 4.9651
_cell_length_c 24.0858
_cell_angle_alpha 90.00
_cell_angle_beta 90.00
_cell_angle_gamma 120.00
_space_group_name_H-M_alt 'R -3 m'
_space_group_IT_number 166
_space_group_name_Hall '-R 3 2"'
loop_
_atom_site_label
_atom_site_type_symbol
_atom_site_fract_x
_atom_site_fract_y
_atom_site_fract_z
Tb1 Tb 0.0000 0.0000 0.0000
Sm1 Sm 0.0000 0.0000 0.5000
Mg1 Mg 0.0000 0.0000 0.2502
Au1 Au 0.0000 0.0000 0.1240
Au2 Au 0.0000 0.0000 0.3723
```

- E_tot (eV per cell) = -95.29
- DFT formation energy (eV/atom) = -0.764

Computed, not measured: TbSmMgAu after structural relaxation at the PBE level of DFT.

```
data_TbSmMgAu
_chemical_formula_sum 'Tb1 Sm1 Mg1 Au1'
_cell_length_a 3.741
_cell_length_b 3.741
_cell_length_c 7.361
_cell_angle_alpha 90.00
_cell_angle_beta 90.00
_cell_angle_gamma 90.00
_space_group_name_H-M_alt 'P 4 m m'
_space_group_IT_number 99
loop_
_space_group_symop_operation_xyz
'x,y,z'
'-y,x,z'
'-x,-y,z'
'y,-x,z'
'-x,y,z'
'y,x,z'
'x,-y,z'
'-y,-x,z'
loop_
_atom_site_label
_atom_site_type_symbol
_atom_site_fract_x
_atom_site_fract_y
_atom_site_fract_z
Tb1 Tb 0.000 0.000 0.000
Sm1 Sm 0.000 0.000 0.529
Mg1 Mg 0.500 0.500 0.260
Au1 Au 0.500 0.500 0.778
```

- E_tot (eV per cell) = -16.05
- energy above the lowest structure with this stoichiometry (meV per atom) = 0
- DFT formation energy (eV/atom) = -0.456

Computed, not measured: TbSmMgAu after structural relaxation at the PBE level of DFT.

```
data_TbSmMgAu
_chemical_formula_sum 'Tb4 Sm4 Mg4 Au4'
_cell_length_a 7.433
_cell_length_b 7.433
_cell_length_c 7.433
_cell_angle_alpha 90.00
_cell_angle_beta 90.00
_cell_angle_gamma 90.00
_space_group_name_H-M_alt 'F -4 3 m'
_space_group_IT_number 216
_space_group_name_Hall 'F -4 2 3'
loop_
_atom_site_label
_atom_site_type_symbol
_atom_site_fract_x
_atom_site_fract_y
_atom_site_fract_z
Tb1 Tb 0.000 0.000 0.000
Sm1 Sm 0.000 0.000 0.500
Mg1 Mg 0.250 0.250 0.750
Au1 Au 0.250 0.250 0.250
```

- E_tot (eV per cell) = -63.13
- energy above the lowest structure with this stoichiometry (meV per atom) = 66
- DFT formation energy (eV/atom) = -0.390

Computed, not measured: SmTm2MgAu4 after structural relaxation at the PBE level of DFT.

```
data_SmTm2MgAu4
_chemical_formula_sum 'Sm3 Tm6 Mg3 Au12'
_cell_length_a 4.9641
_cell_length_b 4.9641
_cell_length_c 24.8909
_cell_angle_alpha 90.00
_cell_angle_beta 90.00
_cell_angle_gamma 120.00
_space_group_name_H-M_alt 'R -3 m'
_space_group_IT_number 166
_space_group_name_Hall '-R 3 2"'
loop_
_atom_site_label
_atom_site_type_symbol
_atom_site_fract_x
_atom_site_fract_y
_atom_site_fract_z
Sm1 Sm 0.0000 0.0000 0.0000
Tm1 Tm 0.0000 0.0000 0.2439
Mg1 Mg 0.0000 0.0000 0.5000
Au1 Au 0.0000 0.0000 0.1239
Au2 Au 0.0000 0.0000 0.3824
```

- E_tot (eV per cell) = -104.23
- DFT formation energy (eV/atom) = -0.797

Computed, not measured: SmY2MgAu4 after structural relaxation at the PBE level of DFT.

```
data_SmY2MgAu4
_chemical_formula_sum 'Sm3 Y6 Mg3 Au12'
_cell_length_a 5.0322
_cell_length_b 5.0322
_cell_length_c 24.8279
_cell_angle_alpha 90.00
_cell_angle_beta 90.00
_cell_angle_gamma 120.00
_space_group_name_H-M_alt 'R -3 m'
_space_group_IT_number 166
_space_group_name_Hall '-R 3 2"'
loop_
_atom_site_label
_atom_site_type_symbol
_atom_site_fract_x
_atom_site_fract_y
_atom_site_fract_z
Sm1 Sm 0.0000 0.0000 0.0000
Y1 Y 0.0000 0.0000 0.2441
Mg1 Mg 0.0000 0.0000 0.5000
Au1 Au 0.0000 0.0000 0.1232
Au2 Au 0.0000 0.0000 0.3780
```

- E_tot (eV per cell) = -116.01
- DFT formation energy (eV/atom) = -0.790

Computed, not measured: SmMg2Zn2Au2 after structural relaxation at the PBE level of DFT.

```
data_SmMg2Zn2Au2
_chemical_formula_sum 'Sm3 Mg6 Zn6 Au6'
_cell_length_a 4.5612
_cell_length_b 4.5612
_cell_length_c 23.9440
_cell_angle_alpha 90.00
_cell_angle_beta 90.00
_cell_angle_gamma 120.00
_space_group_name_H-M_alt 'R -3 m'
_space_group_IT_number 166
_space_group_name_Hall '-R 3 2"'
loop_
_atom_site_label
_atom_site_type_symbol
_atom_site_fract_x
_atom_site_fract_y
_atom_site_fract_z
Sm1 Sm 0.0000 0.0000 0.0000
Mg1 Mg 0.0000 0.0000 0.1341
Zn1 Zn 0.0000 0.0000 0.4091
Au1 Au 0.0000 0.0000 0.2521
```

- E_tot (eV per cell) = -61.31
- DFT formation energy (eV/atom) = -0.489

Computed, not measured: SmMgZn5Au2 after structural relaxation at the PBE level of DFT.

```
data_SmMgZn5Au2
_chemical_formula_sum 'Sm1 Mg1 Zn5 Au2'
_cell_length_a 4.838
_cell_length_b 4.838
_cell_length_c 7.778
_cell_angle_alpha 90.00
_cell_angle_beta 90.00
_cell_angle_gamma 90.00
_space_group_name_H-M_alt 'P 4/m m m'
_space_group_IT_number 123
_space_group_name_Hall '-P 4 2'
loop_
_atom_site_label
_atom_site_type_symbol
_atom_site_fract_x
_atom_site_fract_y
_atom_site_fract_z
Sm1 Sm 0.000 0.000 0.000
Mg1 Mg 0.000 0.000 0.500
Zn1 Zn 0.000 0.500 0.237
Zn2 Zn 0.500 0.500 0.000
Au1 Au 0.500 0.500 0.329
```

- E_tot (eV per cell) = -20.15
- DFT formation energy (eV/atom) = -0.101

Computed, not measured: SmMgZn2Au2 after structural relaxation at the PBE level of DFT.

```
data_SmMgZn2Au2
_chemical_formula_sum 'Sm1 Mg1 Zn2 Au2'
_cell_length_a 4.5324
_cell_length_b 4.5324
_cell_length_c 6.7240
_cell_angle_alpha 90.00
_cell_angle_beta 90.00
_cell_angle_gamma 120.00
_space_group_name_H-M_alt 'P -3 m 1'
_space_group_IT_number 164
_space_group_name_Hall '-P 3 2"'
loop_
_atom_site_label
_atom_site_type_symbol
_atom_site_fract_x
_atom_site_fract_y
_atom_site_fract_z
Sm1 Sm 0.0000 0.0000 0.0000
Mg1 Mg 0.0000 0.0000 0.5000
Zn1 Zn 0.3333 0.6667 0.7080
Au1 Au 0.3333 0.6667 0.2754
```

- E_tot (eV per cell) = -18.74
- DFT formation energy (eV/atom) = -0.554

Computed, not measured: SmMg2ZnAu4 after structural relaxation at the PBE level of DFT.

```
data_SmMg2ZnAu4
_chemical_formula_sum 'Sm3 Mg6 Zn3 Au12'
_cell_length_a 4.6177
_cell_length_b 4.6177
_cell_length_c 25.7481
_cell_angle_alpha 90.00
_cell_angle_beta 90.00
_cell_angle_gamma 120.00
_space_group_name_H-M_alt 'R -3 m'
_space_group_IT_number 166
_space_group_name_Hall '-R 3 2"'
loop_
_atom_site_label
_atom_site_type_symbol
_atom_site_fract_x
_atom_site_fract_y
_atom_site_fract_z
Sm1 Sm 0.0000 0.0000 0.0000
Mg1 Mg 0.0000 0.0000 0.2398
Zn1 Zn 0.0000 0.0000 0.5000
Au1 Au 0.0000 0.0000 0.1280
Au2 Au 0.0000 0.0000 0.3948
```

- E_tot (eV per cell) = -80.61
- DFT formation energy (eV/atom) = -0.572

Computed, not measured: SmMg2ZnAu2 after structural relaxation at the PBE level of DFT.

```
data_SmMg2ZnAu2
_chemical_formula_sum 'Sm2 Mg4 Zn2 Au4'
_cell_length_a 4.293
_cell_length_b 4.293
_cell_length_c 16.307
_cell_angle_alpha 90.00
_cell_angle_beta 90.00
_cell_angle_gamma 90.00
_space_group_name_H-M_alt 'I 4/m m m'
_space_group_IT_number 139
_space_group_name_Hall '-I 4 2'
loop_
_atom_site_label
_atom_site_type_symbol
_atom_site_fract_x
_atom_site_fract_y
_atom_site_fract_z
Sm1 Sm 0.000 0.000 0.000
Mg1 Mg 0.000 0.500 0.250
Zn1 Zn 0.000 0.000 0.500
Au1 Au 0.000 0.000 0.350
```

- E_tot (eV per cell) = -33.92
- DFT formation energy (eV/atom) = -0.204

Computed, not measured: Mg2SnAu4 after structural relaxation at the PBE level of DFT.

```
data_Mg2SnAu4
_chemical_formula_sum 'Mg4 Sn2 Au8'
_cell_length_a 4.490
_cell_length_b 4.909
_cell_length_c 13.807
_cell_angle_alpha 87.02
_cell_angle_beta 80.66
_cell_angle_gamma 62.82
_space_group_name_H-M_alt 'P -1'
_space_group_IT_number 2
loop_
_space_group_symop_operation_xyz
'x,y,z'
'-x,-y,-z'
loop_
_atom_site_label
_atom_site_type_symbol
_atom_site_fract_x
_atom_site_fract_y
_atom_site_fract_z
Mg1 Mg 0.135 0.155 0.074
Mg2 Mg 0.311 0.248 0.630
Sn1 Sn 0.410 0.463 0.215
Au1 Au 0.000 0.000 0.500
Au2 Au 0.052 0.105 0.289
Au3 Au 0.221 0.190 0.869
Au4 Au 0.346 0.380 0.428
Au5 Au 0.500 0.500 0.000
```

- E_tot (eV per cell) = -45.96
- DFT formation energy (eV/atom) = -0.382

Computed, not measured: Mg2SnAu6 after structural relaxation at the PBE level of DFT.

```
data_Mg2SnAu6
_chemical_formula_sum 'Mg4 Sn2 Au12'
_cell_length_a 4.980
_cell_length_b 14.921
_cell_length_c 5.185
_cell_angle_alpha 90.00
_cell_angle_beta 118.50
_cell_angle_gamma 90.00
_space_group_name_H-M_alt 'C 1 2/m 1'
_space_group_IT_number 12
loop_
_space_group_symop_operation_xyz
'x,y,z'
'-x,-y,-z'
'-x,y,-z'
'x,-y,z'
'x+1/2,y+1/2,z'
'-x+1/2,-y+1/2,-z'
'-x+1/2,y+1/2,-z'
'x+1/2,-y+1/2,z'
loop_
_atom_site_label
_atom_site_type_symbol
_atom_site_fract_x
_atom_site_fract_y
_atom_site_fract_z
Mg1 Mg 0.000 0.166 0.000
Sn1 Sn 0.000 0.500 0.500
Au1 Au 0.162 0.000 0.835
Au2 Au 0.165 0.328 0.320
```

- E_tot (eV per cell) = -59.85
- energy above the lowest structure with this stoichiometry (meV per atom) = 0
- DFT formation energy (eV/atom) = -0.341